(1)
# Na2CaSbO4 PBE-GGA relaxed
data_Na2CaSbO4
_chemical_formula_sum 'Na4 Ca2 Sb2 O8'
_space_group_name_H-M_alt 'P 1'
_space_group_IT_number 1
_cell_length_a 6.7681
_cell_length_b 6.7681
_cell_length_c 6.8263
_cell_angle_alpha 120.28
_cell_angle_beta 120.28
_cell_angle_gamma 89.43
loop_
_space_group_symop_operation_xyz
'x,y,z'
loop_
_atom_site_label
_atom_site_type_symbol
_atom_site_fract_x
_atom_site_fract_y
_atom_site_fract_z
_atom_site_occupancy
Na1 Na 0.5000 0.0000 0.0000 1
Na2 Na 0.5000 0.0000 0.5000 1
Na3 Na 0.0000 0.0000 0.5000 1
Na4 Na 0.5000 0.5000 0.0000 1
Ca1 Ca 0.0000 0.5000 0.0000 1
Ca2 Ca 0.0000 0.5000 0.5000 1
Sb1 Sb 0.5000 0.5000 0.5000 1
Sb2 Sb 0.0000 0.0000 0.0000 1
O1 O 0.2110 0.7646 0.9878 1
O2 O 0.7354 0.2890 0.5122 1
O3 O 0.2646 0.7110 0.4878 1
O4 O 0.7890 0.2354 0.0122 1
O5 O 0.7517 0.7482 0.9628 1
O6 O 0.7518 0.7483 0.5372 1
O7 O 0.2482 0.2517 0.4628 1
O8 O 0.2483 0.2518 0.0372 1
# - Crystal system: orthorhombic
# - Spin magnetization: 0.00 μB/f.u.
# - Space-group type: No. 74
# - Uncorrected energy: -5.410 eV/atom

(2)
# Dy4TlTe2Se PBE-GGA relaxed
data_Dy4TlTe2Se
_chemical_formula_sum 'Dy4 Tl1 Te2 Se1'
_space_group_name_H-M_alt 'P 1'
_space_group_IT_number 1
_cell_length_a 4.2568
_cell_length_b 7.5389
_cell_length_c 7.4637
_cell_angle_alpha 71.05
_cell_angle_beta 90.00
_cell_angle_gamma 90.00
loop_
_space_group_symop_operation_xyz
'x,y,z'
loop_
_atom_site_label
_atom_site_type_symbol
_atom_site_fract_x
_atom_site_fract_y
_atom_site_fract_z
_atom_site_occupancy
Dy1 Dy 0.0000 0.7278 0.7602 1
Dy2 Dy 0.0000 0.2722 0.2398 1
Dy3 Dy 0.5000 0.7372 0.2518 1
Dy4 Dy 0.5000 0.2628 0.7482 1
Tl1 Tl 0.0000 0.5000 0.5000 1
Te1 Te 0.0000 0.0000 0.0000 1
Te2 Te 0.5000 0.0000 0.5000 1
Se1 Se 0.5000 0.5000 0.0000 1
# - Crystal system: monoclinic
# - Spin magnetization: 0.00 μB/f.u.
# - Space-group type: No. 10
# - Uncorrected energy: -4.991 eV/atom

(3)
# Y4CoBi2 PBE-GGA relaxed
data_Y4CoBi2
_chemical_formula_sum 'Y4 Co1 Bi2'
_space_group_name_H-M_alt 'P 1'
_space_group_IT_number 1
_cell_length_a 4.9774
_cell_length_b 4.9774
_cell_length_c 8.9724
_cell_angle_alpha 106.10
_cell_angle_beta 106.10
_cell_angle_gamma 90.00
loop_
_space_group_symop_operation_xyz
'x,y,z'
loop_
_atom_site_label
_atom_site_type_symbol
_atom_site_fract_x
_atom_site_fract_y
_atom_site_fract_z
_atom_site_occupancy
Y1 Y 0.8324 0.8324 0.6649 1
Y2 Y 0.1676 0.1676 0.3351 1
Y3 Y 0.0000 0.5000 0.0000 1
Y4 Y 0.5000 0.0000 0.0000 1
Co1 Co 0.0000 0.0000 0.0000 1
Bi1 Bi 0.6414 0.6414 0.2828 1
Bi2 Bi 0.3586 0.3586 0.7172 1
# - Formation energy from the elements: -0.50 eV per atom
# - Crystal system: tetragonal
# - Spin magnetization: 0.00 μB/f.u.
# - Space-group type: No. 139

Please write out number 1 again, unchanged.
# Na2CaSbO4 PBE-GGA relaxed
data_Na2CaSbO4
_chemical_formula_sum 'Na4 Ca2 Sb2 O8'
_space_group_name_H-M_alt 'P 1'
_space_group_IT_number 1
_cell_length_a 6.7681
_cell_length_b 6.7681
_cell_length_c 6.8263
_cell_angle_alpha 120.28
_cell_angle_beta 120.28
_cell_angle_gamma 89.43
loop_
_space_group_symop_operation_xyz
'x,y,z'
loop_
_atom_site_label
_atom_site_type_symbol
_atom_site_fract_x
_atom_site_fract_y
_atom_site_fract_z
_atom_site_occupancy
Na1 Na 0.5000 0.0000 0.0000 1
Na2 Na 0.5000 0.0000 0.5000 1
Na3 Na 0.0000 0.0000 0.5000 1
Na4 Na 0.5000 0.5000 0.0000 1
Ca1 Ca 0.0000 0.5000 0.0000 1
Ca2 Ca 0.0000 0.5000 0.5000 1
Sb1 Sb 0.5000 0.5000 0.5000 1
Sb2 Sb 0.0000 0.0000 0.0000 1
O1 O 0.2110 0.7646 0.9878 1
O2 O 0.7354 0.2890 0.5122 1
O3 O 0.2646 0.7110 0.4878 1
O4 O 0.7890 0.2354 0.0122 1
O5 O 0.7517 0.7482 0.9628 1
O6 O 0.7518 0.7483 0.5372 1
O7 O 0.2482 0.2517 0.4628 1
O8 O 0.2483 0.2518 0.0372 1
# - Crystal system: orthorhombic
# - Spin magnetization: 0.00 μB/f.u.
# - Space-group type: No. 74
# - Uncorrected energy: -5.410 eV/atom